1.
# Nd2P2PbN6 | the Alexandria database | PBE-GGA | relaxed
data_Nd2P2PbN6
_chemical_formula_sum 'Nd2 P2 Pb1 N6'
_symmetry_space_group_name_H-M 'P -1'
_symmetry_Int_Tables_number 2
_cell_length_a 5.893
_cell_length_b 6.043
_cell_length_c 6.615
_cell_angle_alpha 113.51
_cell_angle_beta 102.16
_cell_angle_gamma 107.72
loop_
_symmetry_equiv_pos_as_xyz
'x,y,z'
'-x,-y,-z'
loop_
_atom_site_label
_atom_site_fract_x
_atom_site_fract_y
_atom_site_fract_z
Nd1 0.214 0.114 0.326
P1 0.052 0.513 0.263
Pb1 0.500 0.500 0.000
N1 0.057 0.271 0.653
N2 0.125 0.796 0.916
N3 0.355 0.606 0.363
# - raw formation energy (eV/atom) = -0.59
# - crystal system = triclinic


2.
# SrCr2Ag | the Alexandria database | PBE-GGA | relaxed
data_SrCr2Ag
_chemical_formula_sum 'Sr1 Cr2 Ag1'
_symmetry_space_group_name_H-M 'P 4/m m m'
_symmetry_Int_Tables_number 123
_symmetry_space_group_name_Hall '-P 4 2'
_cell_length_a 4.490
_cell_length_b 4.490
_cell_length_c 4.602
_cell_angle_alpha 90.00
_cell_angle_beta 90.00
_cell_angle_gamma 90.00
loop_
_atom_site_label
_atom_site_fract_x
_atom_site_fract_y
_atom_site_fract_z
Sr1 0.000 0.000 0.000
Cr1 0.000 0.500 0.500
Ag1 0.500 0.500 0.000
# - ΔH_f (0 K) (eV/atom) = 0.7641
# - energy above the most stable polymorph in this dataset (meV/atom) = 347.6
# - crystal system = tetragonal


3.
# CeTmRu2 | the Alexandria database | PBE-GGA | relaxed
data_CeTmRu2
_chemical_formula_sum 'Ce1 Tm1 Ru2'
_symmetry_space_group_name_H-M 'P 4/m m m'
_symmetry_Int_Tables_number 123
_symmetry_space_group_name_Hall '-P 4 2'
_cell_length_a 4.819
_cell_length_b 4.819
_cell_length_c 3.396
_cell_angle_alpha 90.00
_cell_angle_beta 90.00
_cell_angle_gamma 90.00
loop_
_atom_site_label
_atom_site_fract_x
_atom_site_fract_y
_atom_site_fract_z
Ce1 0.000 0.000 0.000
Tm1 0.500 0.500 0.000
Ru1 0.000 0.500 0.500
# - ΔH_f (0 K) (eV/atom) = -0.4292
# - crystal system = tetragonal


4.
# InGa2CuI | the Alexandria database | PBE-GGA | relaxed
data_InGa2CuI
_chemical_formula_sum 'In1 Ga2 Cu1 I1'
_symmetry_space_group_name_H-M 'P 4/m m m'
_symmetry_Int_Tables_number 123
_symmetry_space_group_name_Hall '-P 4 2'
_cell_length_a 4.895
_cell_length_b 4.895
_cell_length_c 5.332
_cell_angle_alpha 90.00
_cell_angle_beta 90.00
_cell_angle_gamma 90.00
loop_
_atom_site_label
_atom_site_fract_x
_atom_site_fract_y
_atom_site_fract_z
In1 0.000 0.000 0.000
Ga1 0.000 0.500 0.500
Cu1 0.000 0.000 0.500
I1 0.500 0.500 0.000
# - raw formation energy (eV/atom) = -0.05
# - crystal system = tetragonal